(1)
The following is a PBE calculation of a relaxed Sr2LaTc crystal, from Alexandria via LeMat-Bulk.

Cell: 4.8954 4.8954 7.9749 Å, 106.87 106.87 55.51°
Last column: nearest neighbours and their distance in Å.
Sites, in units of the cell vectors:
Sr1 0.0000 0.0000 0.0000  3 La 3.46-3.53, 3 Tc 3.48-3.59
Sr2 0.1764 0.1764 0.5789  3 Tc 3.49-3.58, 3 La 3.51-3.56
La1 0.7733 0.7733 0.2861  2 Tc 2.59
Tc1 0.4164 0.4164 0.2890  2 La 2.59

Spin magnetization ... 0.00 μB/f.u.
Calculated total energy ... -4.340 eV per atom
Formation energy ... 31.3 kJ/mol of atoms
Distance to the lowest polymorph of the same formula ... 0.188 kcal/mol of atoms


(2)
The following is a PBE calculation of a relaxed Tb6Ho2Ag crystal, from Alexandria via LeMat-Bulk.

Cell: 9.3211 9.3211 9.3211 Å, 158.05 113.67 70.79°
Last column: nearest neighbours and their distance in Å.
Sites, in units of the cell vectors:
Tb1 0.0241 0.1821 0.8420  1 Ag 3.20, 7 Tb 3.22-3.55, 1 Ho 3.55
Tb2 0.2682 0.5000 0.7682  2 Ag 3.26, 6 Tb 3.47-3.55, 4 Ho 3.63
Tb3 0.3401 0.1821 0.1580  1 Ag 3.20, 7 Tb 3.22-3.55, 1 Ho 3.55
Tb4 0.6599 0.8179 0.8420  1 Ag 3.20, 7 Tb 3.22-3.55, 1 Ho 3.55
Tb5 0.7318 0.5000 0.2318  2 Ag 3.26, 6 Tb 3.47-3.55, 4 Ho 3.63
Tb6 0.9759 0.8179 0.1580  1 Ag 3.20, 7 Tb 3.22-3.55, 1 Ho 3.55
Ho1 0.3615 0.8615 0.5000  2 Ho 3.55, 10 Tb 3.55-3.63
Ho2 0.6385 0.1385 0.5000  2 Ho 3.55, 10 Tb 3.55-3.63
Ag1 0.0000 0.0000 0.0000  8 Tb 3.20-3.26, 2 Ag 3.55

Spin magnetization ... 0.00 μB/f.u.
Calculated total energy ... -4.366 eV per atom
Formation energy ... 5.3 kJ/mol of atoms


(3)
The following is a PBE calculation of a relaxed Sm3TmTh2 crystal, from Alexandria via LeMat-Bulk.

Cell: 10.1123 3.6026 10.7436 Å, 90.00 90.35 90.00°
Last column: nearest neighbours and their distance in Å.
Sites, in units of the cell vectors:
Sm1 0.1233 0.2500 0.2506  7 Sm 3.54-3.65, 5 Th 3.56-3.67
Sm2 0.1368 0.2500 0.9169  2 Tm 3.51, 3 Th 3.54-3.59, 7 Sm 3.59-3.76
Sm3 0.3688 0.7500 0.4164  6 Sm 3.54-3.67, 3 Th 3.56-3.59, 3 Tm 3.58-3.64
Sm4 0.6312 0.2500 0.5836  6 Sm 3.54-3.67, 3 Th 3.56-3.59, 3 Tm 3.58-3.64
Sm5 0.8632 0.7500 0.0831  2 Tm 3.51, 3 Th 3.54-3.59, 7 Sm 3.59-3.76
Sm6 0.8767 0.7500 0.7494  7 Sm 3.54-3.65, 5 Th 3.56-3.67
Tm1 0.3748 0.7500 0.7499  5 Sm 3.51-3.64, 5 Th 3.52-3.59, 2 Tm 3.60
Tm2 0.6252 0.2500 0.2501  5 Sm 3.51-3.64, 5 Th 3.52-3.59, 2 Tm 3.60
Th1 0.1226 0.2500 0.5827  4 Th 3.54-3.60, 6 Sm 3.56-3.59, 2 Tm 3.59
Th2 0.3833 0.7500 0.0825  4 Th 3.47-3.60, 3 Tm 3.52-3.57, 5 Sm 3.54-3.67
Th3 0.6167 0.2500 0.9175  4 Th 3.47-3.60, 3 Tm 3.52-3.57, 5 Sm 3.54-3.67
Th4 0.8774 0.7500 0.4173  4 Th 3.54-3.60, 6 Sm 3.56-3.59, 2 Tm 3.59

Spin magnetization ... 0.00 μB/f.u.
Calculated total energy ... -5.541 eV per atom
Formation energy ... 3.5 kJ/mol of atoms
Distance to the lowest polymorph of the same formula ... 0.000 kcal/mol of atoms


(4)
The following is a PBE calculation of a relaxed Sb2TeSI crystal, from Alexandria via LeMat-Bulk.

Cell: 5.3178 5.3178 5.4958 Å, 90.00 90.00 90.00°
Last column: nearest neighbours and their distance in Å.
Sites, in units of the cell vectors:
Sb1 0.0000 0.5000 0.0000  2 S 2.66
Sb2 0.5000 0.0000 0.0000  2 S 2.66
Te1 0.0000 0.0000 0.5000  4 I 3.76, 8 Sb 3.82
S1 0.5000 0.5000 0.0000  4 Sb 2.66, 2 I 2.75
I1 0.5000 0.5000 0.5000  2 S 2.75

Spin magnetization ... 0.00 μB/f.u.
Calculated total energy ... -2.840 eV per atom
Distance to the lowest polymorph of the same formula ... 1.307 kcal/mol of atoms
Formation energy from raw total energies ... 573 meV/atom


(5)
The following is a PBE calculation of a relaxed RbSnSeBr2 crystal, from Alexandria via LeMat-Bulk.

Cell: 6.0132 6.0132 5.9271 Å, 90.00 90.00 90.00°
Last column: nearest neighbours and their distance in Å.
Sites, in units of the cell vectors:
Rb1 0.0000 0.0000 0.0000  2 Se 2.96, 4 Br 3.01
Sn1 0.5000 0.5000 0.5000  8 Br 4.22, 4 Se 4.25
Se1 0.0000 0.0000 0.5000  2 Rb 2.96
Br1 0.0000 0.5000 0.0000  2 Rb 3.01
Br2 0.5000 0.0000 0.0000  2 Rb 3.01

Spin magnetization ... 0.73 μB/f.u.
Calculated total energy ... -2.238 eV per atom
Distance to the lowest polymorph of the same formula ... 23.097 kcal/mol of atoms
Formation energy from raw total energies ... 122 meV/atom


(6)
The following is a PBE calculation of a relaxed CsZr6CI14 crystal, from Alexandria via LeMat-Bulk.

Cell: 11.1908 11.1908 13.2125 Å, 90.00 90.00 88.27°
Last column: nearest neighbours and their distance in Å.
Sites, in units of the cell vectors:
Cs1 0.0000 0.0000 0.0000  8 I 3.90-4.15
Cs2 0.5000 0.5000 0.5000  8 I 3.90-4.15
Zr1 0.0471 0.1607 0.6070  1 C 2.36
Zr2 0.1223 0.8777 0.5907  1 C 2.25
Zr3 0.1607 0.0471 0.3930  1 C 2.36
Zr4 0.3393 0.4529 0.8930  1 C 2.36
Zr5 0.3777 0.6223 0.0907  1 C 2.25
Zr6 0.4529 0.3393 0.1070  1 C 2.36
Zr7 0.5471 0.6607 0.8930  1 C 2.36
Zr8 0.6223 0.3777 0.9093  1 C 2.25
Zr9 0.6607 0.5471 0.1070  1 C 2.36
Zr10 0.8393 0.9529 0.6070  1 C 2.36
Zr11 0.8777 0.1223 0.4093  1 C 2.25
Zr12 0.9529 0.8393 0.3930  1 C 2.36
C1 0.0000 0.0000 0.5000  6 Zr 2.25-2.36
C2 0.5000 0.5000 0.0000  6 Zr 2.25-2.36
I1 0.0344 0.2124 0.2552  2 Zr 2.89-2.93
I2 0.1002 0.6507 0.4895  2 Zr 2.89-2.93
I3 0.1132 0.3868 0.7500  2 Zr 3.26
I4 0.1433 0.8567 0.2418  2 Zr 2.93
I5 0.1507 0.6002 0.9895  2 Zr 2.89-2.93
I6 0.2124 0.0344 0.7448  2 Zr 2.89-2.93
I7 0.2494 0.2494 0.0000  2 Zr 2.89
I8 0.2506 0.2506 0.5000  2 Zr 2.89
I9 0.2876 0.4656 0.2448  2 Zr 2.89-2.93
I10 0.3493 0.8998 0.4895  2 Zr 2.89-2.93
I11 0.3567 0.6433 0.7418  2 Zr 2.93
I12 0.3868 0.1132 0.2500  2 Zr 3.26
I13 0.3998 0.8493 0.9895  2 Zr 2.89-2.93
I14 0.4656 0.2876 0.7552  2 Zr 2.89-2.93
I15 0.5344 0.7124 0.2448  2 Zr 2.89-2.93
I16 0.6002 0.1507 0.0105  2 Zr 2.89-2.93
I17 0.6132 0.8868 0.7500  2 Zr 3.26
I18 0.6433 0.3567 0.2582  2 Zr 2.93
I19 0.6507 0.1002 0.5105  2 Zr 2.89-2.93
I20 0.7124 0.5344 0.7552  2 Zr 2.89-2.93
I21 0.7494 0.7494 0.5000  2 Zr 2.89
I22 0.7506 0.7506 0.0000  2 Zr 2.89
I23 0.7876 0.9656 0.2552  2 Zr 2.89-2.93
I24 0.8493 0.3998 0.0105  2 Zr 2.89-2.93
I25 0.8567 0.1433 0.7582  2 Zr 2.93
I26 0.8868 0.6132 0.2500  2 Zr 3.26
I27 0.8998 0.3493 0.5105  2 Zr 2.89-2.93
I28 0.9656 0.7876 0.7448  2 Zr 2.89-2.93

Spin magnetization ... 0.00 μB/f.u.
Calculated total energy ... -4.796 eV per atom
Formation energy from raw total energies ... -1020 meV/atom


(7)
The following is a PBE calculation of a relaxed LiScSbTe2 crystal, from Alexandria via LeMat-Bulk.

Cell: 5.6136 5.6136 5.4933 Å, 90.00 90.00 90.00°
Last column: nearest neighbours and their distance in Å.
Sites, in units of the cell vectors:
Li1 0.0000 0.0000 0.0000  8 Te 3.93, 4 Sb 3.97
Sc1 0.5000 0.5000 0.5000  2 Sb 2.75, 4 Te 2.81
Sb1 0.5000 0.5000 0.0000  2 Sc 2.75
Te1 0.0000 0.5000 0.5000  2 Sc 2.81
Te2 0.5000 0.0000 0.5000  2 Sc 2.81

Spin magnetization ... 0.00 μB/f.u.
Calculated total energy ... -4.015 eV per atom
Distance to the lowest polymorph of the same formula ... 0.000 kcal/mol of atoms
Formation energy from raw total energies ... -285 meV/atom


(8)
The following is a PBE calculation of a relaxed PmSm3Er6 crystal, from Alexandria via LeMat-Bulk.

Cell: 6.8757 6.8757 6.8757 Å, 91.65 91.65 91.65°
Last column: nearest neighbours and their distance in Å.
Sites, in units of the cell vectors:
Pm1 0.0000 0.0000 0.0000  2 Sm 2.89-2.91
Sm1 0.2514 0.2514 0.2514  1 Sm 2.87, 1 Pm 2.91
Sm2 0.5000 0.5000 0.5000  2 Sm 2.87-2.90
Sm3 0.7504 0.7504 0.7504  1 Pm 2.89, 1 Sm 2.90
Er1 0.1698 0.8261 0.4970  3 Sm 3.24-3.46
Er2 0.3265 0.6694 0.9971  1 Pm 3.24, 2 Sm 3.44-3.45
Er3 0.4970 0.1698 0.8261  3 Sm 3.24-3.46
Er4 0.6694 0.9971 0.3265  1 Pm 3.24, 2 Sm 3.44-3.45
Er5 0.8261 0.4970 0.1698  3 Sm 3.24-3.46
Er6 0.9971 0.3265 0.6694  1 Pm 3.24, 2 Sm 3.44-3.45

Spin magnetization ... 0.02 μB/f.u.
Calculated total energy ... -4.333 eV per atom
Formation energy ... 28.5 kJ/mol of atoms
Distance to the lowest polymorph of the same formula ... 3.393 kcal/mol of atoms


(9)
The following is a PBE calculation of a relaxed CrHgTe crystal, from Alexandria via LeMat-Bulk.

Cell: 3.9903 3.9903 5.6955 Å, 90.00 90.00 120.00°
Last column: nearest neighbours and their distance in Å.
Sites, in units of the cell vectors:
Cr1 0.0000 0.0000 0.0000  3 Te 2.71, 3 Hg 2.95
Hg1 0.6667 0.3333 0.3222  3 Cr 2.95
Te1 0.3333 0.6667 0.7510  3 Cr 2.71

Spin magnetization ... 4.00 μB/f.u.
Calculated total energy ... -4.216 eV per atom
Distance to the lowest polymorph of the same formula ... 0.453 kcal/mol of atoms
Formation energy from raw total energies ... 139 meV/atom